No. 1
A relaxed structure of Pr4TmAg, computed with GGA-PBE.

Cell and atoms, written as POSCAR:
```
Pr4TmAg
1.0
-1.321 -3.456 -0.149
0.571 -0.060 -3.658
13.029 -5.071 2.118
Pr Tm Ag
4 1 1
direct
0.500 0.500 0.826
0.500 0.500 0.174
0.000 0.000 0.640
0.000 0.000 0.360
0.000 0.000 0.000
0.500 0.500 0.500
```

**Calculated density**: 7.20 g/cm³
**Spin magnetization**: 0.00 μB per formula unit
**SG**: P4/mmm (123)
**Formation energy**: -0.0605 eV per atom

---

No. 2
A relaxed structure of Sc3CdCu4, computed with GGA-PBE.

Cell and atoms, written as POSCAR:
```
Sc3CdCu4
1.0
4.380 0.000 1.293
1.999 3.897 1.293
0.030 0.019 7.962
Sc Cu Cd
3 4 1
direct
0.253 0.253 0.240
0.747 0.747 0.760
0.500 0.500 0.500
0.871 0.871 0.388
0.377 0.377 0.868
0.129 0.129 0.612
0.623 0.623 0.132
0.000 0.000 0.000
```

**Calculated density**: 6.14 g/cm³
**Spin magnetization**: 0.00 μB per formula unit
**SG**: R-3m (166)
**Formation energy**: -0.2355 eV per atom

---

No. 3
A relaxed structure of SmDy2Zn2, computed with GGA-PBE.

Cell and atoms, written as POSCAR:
```
SmDy2Zn2
1.0
-1.557 -1.793 -2.737
4.672 -1.710 -1.537
-0.573 -9.769 9.129
Sm Dy Zn
2 4 4
direct
0.856 0.750 0.714
0.144 0.250 0.286
0.046 0.750 0.093
0.954 0.250 0.907
0.232 0.750 0.465
0.768 0.250 0.535
0.640 0.750 0.280
0.360 0.250 0.720
0.453 0.750 0.906
0.547 0.250 0.094
```

**Distance to the lowest polymorph of the same formula**: 0.0 meV/atom
**Calculated density**: 8.05 g/cm³
**Spin magnetization**: 0.00 μB per formula unit
**SG**: P2_1/m (11)
**Formation energy**: -0.2603 eV per atom

---

No. 4
A relaxed structure of Ba2Ge2Rh, computed with GGA-PBE.

Cell and atoms, written as POSCAR:
```
Ba2Ge2Rh
1.0
7.026 0.000 0.000
0.000 7.026 0.000
0.000 0.000 5.266
Ge Rh Ba
4 2 4
direct
0.367 0.867 0.000
0.867 0.633 0.000
0.633 0.133 0.000
0.133 0.367 0.000
0.000 0.000 0.000
0.500 0.500 0.000
0.179 0.679 0.500
0.679 0.821 0.500
0.821 0.321 0.500
0.321 0.179 0.500
```

**Calculated density**: 6.68 g/cm³
**Spin magnetization**: 0.00 μB per formula unit
**SG**: P4/mbm (127)
**Formation energy**: -0.3226 eV per atom

---

No. 5
A relaxed structure of SrCd2GeRh2, computed with GGA-PBE.

Cell and atoms, written as POSCAR:
```
SrCd2GeRh2
1.0
4.683 0.000 0.000
0.000 4.683 0.000
0.000 0.000 6.217
Sr Cd Ge Rh
1 2 1 2
direct
0.000 0.000 0.500
0.500 0.500 0.734
0.500 0.500 0.266
0.000 0.000 0.000
0.500 0.000 0.000
0.000 0.500 0.000
```

**Calculated density**: 7.20 g/cm³
**Spin magnetization**: 0.22 μB per formula unit
**SG**: P4/mmm (123)
**Formation energy**: -0.3041 eV per atom

---

No. 6
A relaxed structure of CeFeSb2, computed with GGA-PBE.

Cell and atoms, written as POSCAR:
```
CeFeSb2
1.0
4.338 0.000 0.000
0.000 4.338 0.000
0.000 0.000 9.583
Ce Fe Sb
2 2 4
direct
0.000 0.500 0.732
0.500 0.000 0.268
0.500 0.500 0.500
0.000 0.000 0.500
0.500 0.500 0.000
0.000 0.000 0.000
0.000 0.500 0.357
0.500 0.000 0.643
```

**Distance to the lowest polymorph of the same formula**: 0.0 meV/atom
**Uncorrected formation energy**: -0.532 eV/atom
**Calculated density**: 8.09 g/cm³
**Spin magnetization**: 0.00 μB per formula unit
**SG**: P4/nmm (129)